A geometry-optimized InFeAgPd structure, computed with GGA-PBE.

Magnetization ... 2.7 μB per cell
E above lowest polymorph ... 0 meV/atom

Structure (POSCAR):
```
InFeAgPd
1.0
-0.852 -3.930 2.123
-1.515 0.014 4.288
-4.289 -1.215 0.900
Ag Fe In Pd
1 1 1 1
Cartesian
-3.328 -2.566 3.656
-4.992 -3.849 5.483
0.000 0.000 0.000
-1.664 -1.283 1.828
```